A geometry-optimized CuRu structure, computed with PBE.

## Properties
The calculation puts the total energy at -25.24 eV for the cell shown. As for the calculated formation energy: 0.377 eV/atom. The volume is 52.9 Å³/cell. The calculation puts the density of states at the Fermi level at 2.63 states/eV/f.u.

```
CuRu
1.0
-0.3994 -1.1210 3.4616
1.3456 -3.2810 -0.9073
3.6466 1.2658 0.8307
Cu Ru
2 2
direct
0.2500 0.7500 0.0000 Cu
0.7500 0.2500 0.0000 Cu
0.2500 0.2500 0.5001 Ru
0.7500 0.7500 0.4999 Ru
```

***

A geometry-optimized Tm8Cd2Bi structure, computed with PBE.

## Properties
The calculation puts the total energy at -42.42 eV for the cell shown. As for the calculated formation energy: -0.086 eV/atom. The volume is 322.2 Å³/cell. The calculation puts the density of states at the Fermi level at 14.78 states/eV/f.u.

```
Tm8Cd2Bi
1.0
5.5824 -0.2255 -0.3385
-1.2527 8.2068 -0.4646
-1.2527 -3.5895 7.3948
Tm Cd Bi
8 2 1
direct
0.8820 0.9074 0.6752 Tm
0.8820 0.6752 0.9074 Tm
0.2990 0.5969 0.5969 Tm
0.5000 0.7709 0.2291 Tm
0.5000 0.2291 0.7709 Tm
0.7010 0.4031 0.4031 Tm
0.1180 0.3248 0.0926 Tm
0.1180 0.0926 0.3248 Tm
0.0000 0.3046 0.6954 Cd
0.0000 0.6954 0.3046 Cd
0.5000 0.0000 0.0000 Bi
```